First-principles (PBE-GGA) data for crystalline Tm2NpGa6 at its relaxed geometry, as listed in Alexandria via LeMat-Bulk.

a b c (Å): 7.6723 7.6723 3.5172
angles (deg): 90.00 90.00 120.00
Space group P6/mmm (No. 191)
One atom of each set of equivalent atoms:
Tm (0.3333, 0.6667, 0.0000) x2
Np (0.0000, 0.0000, 0.0000) x1
Ga (0.0000, 0.3344, 0.5000) x6

Properties
Calculated total energy (eV per cell): -43.919
Calculated formation energy (eV/atom): -0.43